(1)
4
Lattice="-5.681 0.362 4.981 -0.434 -0.039 7.551 2.955 2.762 -6.391" Properties=species:S:1:pos:R:3 comment="LiTlTe2 (PBE, relaxed)" spacegroup="No. 44" pbc="T T T"
Li -0.475 1.453 4.137
Te -2.834 1.640 2.311
Te -5.677 0.300 11.635
Tl -3.346 0.177 6.857

***

(2)
4
Lattice="5.925 0.000 0.000 1.823 5.638 0.000 -3.874 -2.819 3.486" Properties=species:S:1:pos:R:3 comment="LiTlTe2 (PBE, relaxed)" spacegroup="No. 139" pbc="T T T"
Tl 0.911 2.819 1.743
Te 0.000 0.000 0.000
Te 3.874 2.819 0.000
Li 2.963 0.000 1.743

***

(3)
4
Lattice="0.000 3.950 3.950 3.950 0.000 3.950 3.950 3.950 0.000" Properties=species:S:1:pos:R:3 comment="LiTl2Te (PBE, relaxed)" spacegroup="No. 225" pbc="T T T"
Li 0.000 0.000 0.000
Tl 5.925 5.925 5.925
Tl 1.975 1.975 1.975
Te 3.950 3.950 3.950

***

(4)
4
Lattice="-1.567 -2.810 5.022 4.660 -0.198 3.717 -2.516 4.503 -2.994" Properties=species:S:1:pos:R:3 comment="LiTl2Te (PBE, relaxed)" spacegroup="No. 119" pbc="T T T"
Tl 0.000 0.000 0.000
Tl 1.845 1.400 2.546
Te -1.268 0.094 3.199
Li 1.546 -1.504 4.370

***

Calculated total DFT energy (no corrections), -2.9747 -2.9110 -2.5915 -2.7269 eV/atom (same order as the records).
Calculated formation energy from raw total energies, -32.21 -26.07 -13.95 -27.00 kJ per mole of atoms (same order as the records).